BeSeN2F after structural relaxation, computed with PBE.

Output
ΔE_f (raw), kJ/mol of atoms: 206
E, eV/cell: -15.07
ΔE to the lowest computed polymorph, eV per atom: 1.604

a = 3.5824 Å, b = 3.5824 Å, c = 6.3149 Å
α = 90.00°, β = 90.00°, γ = 90.00°
Space group P4/mmm (No. 123)
Symmetry-distinct sites (fractional):
Be  0.0000  0.0000  0.0000 x1
Se  0.5000  0.5000  0.0000 x1
N  0.0000  0.5000  0.5000 x2
F  0.5000  0.5000  0.5000 x1